No. 1
Below is crystalline MgCo2BIr at its relaxed geometry, with properties calculated at the PBE level.

Cell lengths 3.8914, 3.8914, 4.0760 Å; angles 90.00, 90.00, 90.00 degrees
With the nearest neighbours (Å) after each atom.
Fractional coordinates of all 5 atoms:
Mg (0.0000, 0.0000, 0.0000)  4 Ir 2.75, 8 Co 2.82
Co (0.0000, 0.5000, 0.5000)  2 B 1.95
Co (0.5000, 0.0000, 0.5000)  2 B 1.95
B (0.5000, 0.5000, 0.5000)  4 Co 1.95, 2 Ir 2.04
Ir (0.5000, 0.5000, 0.0000)  2 B 2.04

Calculated values
N(E_F) (states/eV per atom): 1.195
Total magnetization (Bohr magnetons per cell): 1.9
VASP energy (eV per cell): -32.2
Theoretical density (g/cm3): 9.29
Energy of formation from the pure elements (eV per atom): -0.18
SG: P4/mmm

***

No. 2
Below is crystalline Mg2CoB2Ir5 at its relaxed geometry, with properties calculated at the PBE level.

Cell lengths 9.4665, 9.4665, 2.9040 Å; angles 90.00, 90.00, 90.00 degrees
With the nearest neighbours (Å) after each atom.
Fractional coordinates of all 20 atoms:
Mg (0.1768, 0.3232, 0.0000)  3 B 2.63-2.91, 10 Ir 2.78-2.94, 2 Mg 2.90
Mg (0.3232, 0.8232, 0.0000)  3 B 2.63-2.91, 10 Ir 2.78-2.94, 2 Mg 2.90
Mg (0.6768, 0.1768, 0.0000)  3 B 2.63-2.91, 10 Ir 2.78-2.94, 2 Mg 2.90
Mg (0.8232, 0.6768, 0.0000)  3 B 2.63-2.91, 10 Ir 2.78-2.94, 2 Mg 2.90
Co (0.0000, 0.0000, 0.0000)  8 Ir 2.58
Co (0.5000, 0.5000, 0.0000)  8 Ir 2.58
B (0.1265, 0.6265, 0.0000)  6 Ir 2.16-2.23
B (0.3735, 0.1265, 0.0000)  6 Ir 2.16-2.23
B (0.6265, 0.8735, 0.0000)  6 Ir 2.16-2.23
B (0.8735, 0.3735, 0.0000)  6 Ir 2.16-2.23
Ir (0.0000, 0.5000, 0.5000)  4 B 2.23
Ir (0.0700, 0.7858, 0.5000)  2 B 2.16
Ir (0.2142, 0.0700, 0.5000)  2 B 2.16
Ir (0.2858, 0.5700, 0.5000)  2 B 2.16
Ir (0.4300, 0.2858, 0.5000)  2 B 2.16
Ir (0.5000, 0.0000, 0.5000)  4 B 2.23
Ir (0.5700, 0.7142, 0.5000)  2 B 2.16
Ir (0.7142, 0.4300, 0.5000)  2 B 2.16
Ir (0.7858, 0.9300, 0.5000)  2 B 2.16
Ir (0.9300, 0.2142, 0.5000)  2 B 2.16

Calculated values
N(E_F) (states/eV per atom): 0.513
Total magnetization (Bohr magnetons per cell): 5.1
VASP energy (eV per cell): -143.3
Theoretical density (g/cm3): 13.91
Energy of formation from the pure elements (eV per atom): -0.37
SG: P4/mbm